# 1
A plane-wave DFT calculation with PBE was carried out for a geometry-optimized LaGdHoCd structure.

The structure belongs to space group F-43m (No. 216); the cell edges are 7.853, 7.853 and 7.853 Å and the angles 90.00°, 90.00° and 90.00°. The asymmetric unit holds La at (0.000, 0.000, 0.000), Gd at (0.000, 0.000, 0.500), Ho at (0.250, 0.250, 0.750) and Cd at (0.250, 0.250, 0.250).

As for the total magnetization: 31.83 μB/cell. Its calculated formation energy is -0.056 eV/atom. As for the crystal system: cubic. The value obtained for the energy is -6.181 eV per atom.

# 2
A plane-wave DFT calculation with PBE was carried out for a geometry-optimized TbPrTe2O8 structure.

The structure belongs to space group I-4m2 (No. 119); the cell edges are 7.531, 7.531 and 6.934 Å and the angles 90.00°, 90.00° and 90.00°. The asymmetric unit holds Tb at (0.000, 0.000, 0.000), Pr at (0.000, 0.500, 0.750), Te at (0.000, 0.000, 0.500), Te at (0.000, 0.500, 0.250), O at (0.000, 0.179, 0.697) and O at (0.000, 0.311, 0.053).

As for the total magnetization: 0.00 μB/cell. As for the crystal system: tetragonal. The value obtained for the energy is -6.534 eV per atom. Its formation energy (no corrections) is -1921 meV/atom.

# 3
A plane-wave DFT calculation with PBE was carried out for a geometry-optimized ZnTe2N2 structure.

The structure belongs to space group P4/mmm (No. 123); the cell edges are 4.187, 4.187 and 6.302 Å and the angles 90.00°, 90.00° and 90.00°. The asymmetric unit holds Zn at (0.000, 0.000, 0.000), Te at (0.000, 0.000, 0.500), Te at (0.500, 0.500, 0.500) and N at (0.000, 0.500, 0.000).

As for the total magnetization: 4.15 μB/cell. As for the crystal system: tetragonal. For the energy above the lowest structure with this stoichiometry, the calculation gives 219.7 meV per atom. The value obtained for the energy is -3.375 eV per atom. Its formation energy (no corrections) is 1467 meV/atom.

# 4
A plane-wave DFT calculation with PBE was carried out for a geometry-optimized MgSbMo3 structure.

The structure belongs to space group Pm-3m (No. 221); the cell edges are 4.923, 4.923 and 4.923 Å and the angles 90.00°, 90.00° and 90.00°. The asymmetric unit holds Mg at (0.000, 0.000, 0.000), Sb at (0.500, 0.500, 0.500) and Mo at (0.000, 0.500, 0.500).

As for the total magnetization: 0.00 μB/cell. As for the crystal system: cubic. For the energy above the lowest structure with this stoichiometry, the calculation gives 0.0 meV per atom. The value obtained for the energy is -5.872 eV per atom. Its formation energy (no corrections) is 1770 meV/atom.

# 5
A plane-wave DFT calculation with PBE was carried out for a geometry-optimized YTh4N5 structure.

The structure belongs to space group I4/m (No. 87); the cell edges are 8.106, 8.106 and 5.143 Å and the angles 90.00°, 90.00° and 90.00°. The asymmetric unit holds Y at (0.000, 0.000, 0.000), Th at (0.101, 0.299, 0.500), N at (0.000, 0.000, 0.500) and N at (0.100, 0.295, 0.000).

As for the total magnetization: 0.00 μB/cell. As for the crystal system: tetragonal. The value obtained for the energy is -9.358 eV per atom. Its formation energy (no corrections) is -1581 meV/atom.

# 6
A plane-wave DFT calculation with PBE was carried out for a geometry-optimized Tl4InRe structure.

The structure belongs to space group F-43m (No. 216); the cell edges are 8.803, 8.803 and 8.803 Å and the angles 90.00°, 90.00° and 90.00°. The asymmetric unit holds Tl at (0.124, 0.124, 0.376), In at (0.000, 0.000, 0.000) and Re at (0.250, 0.250, 0.750).

As for the total magnetization: 12.41 μB/cell. Its calculated formation energy is 1.057 eV/atom. As for the crystal system: cubic. The value obtained for the energy is -3.052 eV per atom.

> Number 1 is which compound?

LaGdHoCd

> Which formula does entry 6 have?

Tl4InRe

Copy entry 5 word for word.
A plane-wave DFT calculation with PBE was carried out for a geometry-optimized YTh4N5 structure.

The structure belongs to space group I4/m (No. 87); the cell edges are 8.106, 8.106 and 5.143 Å and the angles 90.00°, 90.00° and 90.00°. The asymmetric unit holds Y at (0.000, 0.000, 0.000), Th at (0.101, 0.299, 0.500), N at (0.000, 0.000, 0.500) and N at (0.100, 0.295, 0.000).

As for the total magnetization: 0.00 μB/cell. As for the crystal system: tetragonal. The value obtained for the energy is -9.358 eV per atom. Its formation energy (no corrections) is -1581 meV/atom.